(1)
Ac3SmF (PBE-GGA, optimized geometry); DOS at the Fermi energy = 4.556 states/eV/cell; E = -4.7405 eV per atom
1.0
5.545 0.000 0.000
0.000 5.545 0.000
0.000 0.000 5.545
Ac Sm F
3 1 1
Direct
0.000 0.000 0.500
0.000 0.500 0.000
0.500 0.000 0.000
0.500 0.500 0.500
0.000 0.000 0.000


(2)
NaTi2NbCu (PBE-GGA, optimized geometry); DOS at the Fermi energy = 6.614 states/eV/cell; formation energy = 0.9495 eV/atom; E = -5.3055 eV per atom
1.0
4.764 0.000 0.000
0.000 4.764 0.000
0.000 0.000 5.105
Na Ti Nb Cu
1 2 1 1
Direct
0.000 0.000 0.000
0.000 0.500 0.500
0.500 0.000 0.500
0.500 0.500 0.500
0.500 0.500 0.000


(3)
Dy3GaSn3 (PBE-GGA, optimized geometry); DOS at the Fermi energy = 10.639 states/eV/cell; formation energy = -0.4025 eV/atom; E = -4.5227 eV per atom
1.0
8.645 0.000 0.000
-4.323 7.487 0.000
0.000 0.000 5.608
Dy Ga Sn
6 2 6
Direct
0.090 0.450 0.250
0.359 0.910 0.250
0.450 0.359 0.750
0.550 0.641 0.250
0.641 0.090 0.750
0.910 0.550 0.750
0.333 0.667 0.750
0.667 0.333 0.250
0.056 0.258 0.750
0.201 0.944 0.750
0.258 0.201 0.250
0.742 0.799 0.750
0.799 0.056 0.250
0.944 0.742 0.250


(4)
Rb2GaH5 (PBE-GGA, optimized geometry); DOS at the Fermi energy = 0.000 states/eV/cell; E = -2.8454 eV per atom
1.0
-3.068 3.068 3.889
3.068 -3.068 3.889
3.068 3.068 -3.889
Rb Ga H
2 1 5
Direct
0.000 0.500 0.500
0.500 0.000 0.500
0.220 0.220 0.000
0.012 0.012 0.000
0.071 0.071 0.608
0.071 0.463 0.000
0.463 0.071 0.000
0.463 0.463 0.392


(5)
Tl2CuH (PBE-GGA, optimized geometry); DOS at the Fermi energy = 0.973 states/eV/cell; E = -2.5469 eV per atom; offset from the most stable computed form = 0.016 eV per atom
1.0
0.000 3.381 3.381
3.381 0.000 3.381
3.381 3.381 0.000
Tl Cu H
2 1 1
Direct
0.250 0.250 0.250
0.750 0.750 0.750
0.000 0.000 0.000
0.500 0.500 0.500


(6)
AlAs (PBE-GGA, optimized geometry); formation energy = -0.3338 eV/atom; E = -4.5299 eV per atom
1.0
-5.248 5.248 2.018
5.248 -5.248 2.018
5.248 5.248 -2.018
Al As
4 4
Direct
0.128 0.291 0.419
0.291 0.872 0.163
0.709 0.128 0.837
0.872 0.709 0.581
0.106 0.720 0.826
0.280 0.106 0.386
0.720 0.894 0.614
0.894 0.280 0.174


(7)
Li2CdAu7 (PBE-GGA, optimized geometry); DOS at the Fermi energy = 4.030 states/eV/cell; formation energy = 0.0097 eV/atom; E = -2.7587 eV per atom
1.0
3.677 -6.776 0.000
3.677 6.776 0.000
0.000 0.000 4.397
Li Cd Au
2 1 7
Direct
0.200 0.800 0.000
0.800 0.200 0.000
0.500 0.500 0.500
0.000 0.000 0.000
0.198 0.421 0.000
0.297 0.703 0.500
0.421 0.198 0.000
0.579 0.802 0.000
0.703 0.297 0.500
0.802 0.579 0.000


(8)
TaIr2 (PBE-GGA, optimized geometry); DOS at the Fermi energy = 3.094 states/eV/cell; formation energy = -0.2329 eV/atom; E = -10.0911 eV per atom
1.0
-1.408 1.948 9.317
1.408 -1.948 9.317
1.408 1.948 -9.317
Ta Ir
2 4
Direct
0.365 0.115 0.250
0.635 0.885 0.750
0.058 0.308 0.750
0.204 0.454 0.750
0.796 0.546 0.250
0.942 0.692 0.250


(9)
CeDyCdPd (PBE-GGA, optimized geometry); DOS at the Fermi energy = 8.508 states/eV/cell; formation energy = -0.4113 eV/atom; E = -4.5723 eV per atom
1.0
0.000 3.668 3.668
3.668 0.000 3.668
3.668 3.668 0.000
Ce Dy Cd Pd
1 1 1 1
Direct
0.000 0.000 0.000
0.500 0.500 0.500
0.750 0.750 0.750
0.250 0.250 0.250


(10)
La6Pm2Ho3 (PBE-GGA, optimized geometry); DOS at the Fermi energy = 17.945 states/eV/cell; formation energy = 0.0220 eV/atom; E = -4.7779 eV per atom
1.0
6.328 0.000 0.000
-2.070 7.921 0.000
-1.045 -2.845 7.641
La Pm Ho
6 2 3
Direct
0.046 0.183 0.412
0.226 0.908 0.048
0.315 0.273 0.862
0.685 0.727 0.138
0.774 0.092 0.952
0.954 0.817 0.588
0.411 0.637 0.680
0.589 0.363 0.320
0.137 0.546 0.228
0.500 0.000 0.500
0.863 0.454 0.772


(11)
ZrPdI2O (PBE-GGA, optimized geometry); DOS at the Fermi energy = 5.443 states/eV/cell; E = -4.2417 eV per atom; offset from the most stable computed form = 0.907 eV per atom
1.0
5.589 0.000 0.000
0.000 5.589 0.000
0.000 0.000 3.867
Zr Pd I O
1 1 2 1
Direct
0.000 0.000 0.000
0.500 0.500 0.500
0.000 0.500 0.500
0.500 0.000 0.500
0.500 0.500 0.000


(12)
NaGaSe2 (PBE-GGA, optimized geometry); DOS at the Fermi energy = 0.000 states/eV/cell; E = -3.6651 eV per atom
1.0
1.971 -7.888 0.000
1.971 7.888 0.000
-0.001 0.000 6.787
Na Ga Se
2 2 4
Direct
0.186 0.814 0.500
0.814 0.186 0.000
0.428 0.575 0.518
0.575 0.428 0.018
0.165 0.837 0.931
0.435 0.565 0.875
0.565 0.435 0.375
0.837 0.165 0.431


(13)
SrCuP (PBE-GGA, optimized geometry); DOS at the Fermi energy = 0.464 states/eV/cell; formation energy = -0.8080 eV/atom; E = -4.5373 eV per atom
1.0
4.097 0.000 0.000
-2.048 3.548 0.000
0.000 0.000 4.355
Sr Cu P
1 1 1
Direct
0.000 0.000 0.000
0.667 0.333 0.500
0.333 0.667 0.500


(14)
Tb2TmN (PBE-GGA, optimized geometry); DOS at the Fermi energy = 4.354 states/eV/cell; E = -6.1610 eV per atom
1.0
1.734 1.001 9.373
-1.734 1.001 9.373
0.000 -2.002 9.373
Tb Tm N
2 1 1
Direct
0.119 0.119 0.119
0.881 0.881 0.881
0.000 0.000 0.000
0.500 0.500 0.500


(15)
Tb2Nd6Sm5 (PBE-GGA, optimized geometry); DOS at the Fermi energy = 30.118 states/eV/cell; formation energy = 0.0933 eV/atom; E = -4.6346 eV per atom
1.0
11.835 0.000 0.000
0.000 20.864 0.000
0.000 0.000 3.654
Tb Nd Sm
4 12 10
Direct
0.170 0.211 0.000
0.330 0.711 0.000
0.670 0.289 0.000
0.830 0.789 0.000
0.061 0.920 0.000
0.082 0.633 0.000
0.175 0.364 0.500
0.325 0.864 0.500
0.418 0.133 0.000
0.439 0.420 0.000
0.561 0.580 0.000
0.582 0.867 0.000
0.675 0.136 0.500
0.825 0.636 0.500
0.918 0.367 0.000
0.939 0.080 0.000
0.000 0.500 0.500
0.088 0.774 0.500
0.198 0.055 0.500
0.302 0.555 0.500
0.412 0.274 0.500
0.500 0.000 0.500
0.588 0.726 0.500
0.698 0.445 0.500
0.802 0.945 0.500
0.912 0.226 0.500


(16)
BC2 (PBE-GGA, optimized geometry); DOS at the Fermi energy = 1.829 states/eV/cell; formation energy = 0.3785 eV/atom; E = -7.9966 eV per atom; offset from the most stable computed form = 0.139 eV per atom
1.0
5.843 -1.265 0.000
5.843 1.265 0.000
-1.135 0.000 5.169
B C
4 8
Direct
0.000 0.000 0.000
0.080 0.080 0.740
0.398 0.398 0.912
0.662 0.662 0.307
0.073 0.073 0.282
0.322 0.322 0.141
0.324 0.324 0.621
0.405 0.405 0.421
0.671 0.671 0.806
0.745 0.745 0.091
0.749 0.749 0.602
0.985 0.985 0.463


(17)
Pr2SmY6Tm (PBE-GGA, optimized geometry); DOS at the Fermi energy = 28.529 states/eV/cell; formation energy = 0.1109 eV/atom; E = -5.6425 eV per atom
1.0
4.559 -7.536 0.000
4.559 7.536 0.000
-1.661 0.000 9.687
Pr Sm Y Tm
4 2 12 2
Direct
0.194 0.293 0.045
0.293 0.194 0.545
0.707 0.806 0.455
0.806 0.707 0.955
0.017 0.983 0.250
0.983 0.017 0.750
0.018 0.574 0.187
0.122 0.742 0.557
0.258 0.878 0.943
0.297 0.507 0.383
0.426 0.982 0.313
0.493 0.703 0.117
0.507 0.297 0.883
0.574 0.018 0.687
0.703 0.493 0.617
0.742 0.122 0.057
0.878 0.258 0.443
0.982 0.426 0.813
0.406 0.594 0.750
0.594 0.406 0.250


(18)
Y3TiC (PBE-GGA, optimized geometry); DOS at the Fermi energy = 10.967 states/eV/cell; formation energy = 0.1498 eV/atom; E = -7.1525 eV per atom; offset from the most stable computed form = 0.000 eV per atom
1.0
4.933 0.000 0.000
0.000 4.933 0.000
0.000 0.000 4.933
Y Ti C
3 1 1
Direct
0.000 0.000 0.500
0.000 0.500 0.000
0.500 0.000 0.000
0.500 0.500 0.500
0.000 0.000 0.000


(19)
MgAl2Ir3 (PBE-GGA, optimized geometry); DOS at the Fermi energy = 0.414 states/eV/cell; formation energy = -0.8153 eV/atom; E = -6.7591 eV per atom
1.0
3.041 0.000 0.000
0.000 3.041 0.000
0.000 0.000 9.176
Mg Al Ir
1 2 3
Direct
0.000 0.000 0.000
0.000 0.000 0.332
0.000 0.000 0.668
0.500 0.500 0.180
0.500 0.500 0.500
0.500 0.500 0.820


(20)
Tb3Si2Cl5O6 (PBE-GGA, optimized geometry); DOS at the Fermi energy = 0.000 states/eV/cell; E = -6.7620 eV per atom
1.0
5.345 -5.240 0.000
5.345 5.240 0.000
-2.691 0.000 11.457
Tb Si Cl O
6 4 10 12
Direct
0.000 0.500 0.500
0.083 0.584 0.830
0.416 0.917 0.170
0.500 0.000 0.500
0.584 0.083 0.830
0.917 0.416 0.170
0.110 0.818 0.356
0.182 0.890 0.644
0.818 0.110 0.356
0.890 0.182 0.644
0.118 0.671 0.079
0.216 0.216 0.161
0.313 0.313 0.501
0.329 0.882 0.921
0.377 0.377 0.858
0.623 0.623 0.142
0.671 0.118 0.079
0.687 0.687 0.499
0.784 0.784 0.839
0.882 0.329 0.921
0.043 0.607 0.328
0.048 0.048 0.693
0.132 0.693 0.672
0.144 0.856 0.500
0.307 0.868 0.328
0.393 0.957 0.672
0.607 0.043 0.328
0.693 0.132 0.672
0.856 0.144 0.500
0.868 0.307 0.328
0.952 0.952 0.307
0.957 0.393 0.672